Mg2InPtF: relaxed, PBE-GGA.

Output
**Formation energy (no corrections)**: 0.126 eV per atom
**Total magnetization**: 0.00 Bohr magnetons per cell
**Space-group type**: P4/mmm (123)
**V**: 145.7 Å³/f.u.

Unit cell a=5.458 b=5.458 c=4.890 alpha=90.00 beta=90.00 gamma=90.00
Fractional positions:
Mg 0.000 0.500 0.000
Mg 0.500 0.000 0.000
In 0.000 0.000 0.000
Pt 0.000 0.000 0.500
F 0.500 0.500 0.500